No. 1
Below is an optimized crystal structure of Ac2CeS5, with properties calculated at the PBE level.

Properties
Formation energy from raw total energies   -2.087 eV per atom

a b c (Å): 7.740 8.510 12.262
angles (deg): 90.00 90.00 90.00
Fractional positions:
S  0.334  0.535  0.587
S  0.948  0.750  0.497
S  0.166  0.965  0.087
S  0.166  0.535  0.087
S  0.179  0.250  0.790
S  0.834  0.465  0.913
S  0.448  0.250  0.003
S  0.321  0.250  0.290
S  0.552  0.750  0.997
S  0.657  0.250  0.691
S  0.821  0.750  0.210
S  0.666  0.035  0.413
S  0.843  0.250  0.191
S  0.666  0.465  0.413
S  0.679  0.750  0.710
S  0.052  0.250  0.503
S  0.157  0.750  0.809
S  0.334  0.965  0.587
S  0.343  0.750  0.309
S  0.834  0.035  0.913
Ac  0.538  0.498  0.174
Ac  0.962  0.498  0.674
Ac  0.038  0.502  0.326
Ac  0.462  0.502  0.826
Ac  0.462  0.998  0.826
Ac  0.038  0.998  0.326
Ac  0.538  0.002  0.174
Ac  0.962  0.002  0.674
Ce  0.438  0.250  0.507
Ce  0.562  0.750  0.493
Ce  0.938  0.750  0.993
Ce  0.062  0.250  0.007

=====

No. 2
Below is an optimized crystal structure of Cd2TcW, with properties calculated at the PBE level.

Properties
ΔH_f (0 K)   634.5 meV/atom
ΔE to the lowest computed polymorph   0.376 eV per atom
N(E_F)   5.70 states/eV/f.u.

a b c (Å): 9.943 9.943 9.943
angles (deg): 16.63 16.63 16.63
Fractional positions:
Cd  0.498  0.498  0.498
Cd  0.002  0.002  0.002
Tc  0.750  0.750  0.750
W  0.250  0.250  0.250

=====

No. 3
Below is an optimized crystal structure of NaGaF, with properties calculated at the PBE level.

Properties
Formation energy from raw total energies   -1.641 eV per atom
ΔE to the lowest computed polymorph   0.000 eV per atom
N(E_F)   0.53 states/eV/f.u.

a b c (Å): 3.263 3.263 9.598
angles (deg): 90.00 90.00 90.00
Fractional positions:
Ga  0.000  0.500  0.922
Ga  0.500  0.000  0.078
F  0.500  0.000  0.378
F  0.000  0.500  0.622
Na  0.000  0.500  0.375
Na  0.500  0.000  0.625

=====

No. 4
Below is an optimized crystal structure of ZnCo2B, with properties calculated at the PBE level.

Properties
ΔH_f (0 K)   -121.9 meV/atom
ΔE to the lowest computed polymorph   0.080 eV per atom
N(E_F)   5.33 states/eV/f.u.

a b c (Å): 2.530 2.530 6.093
angles (deg): 90.00 90.00 90.00
Fractional positions:
B  0.500  0.500  0.000
Zn  0.500  0.500  0.500
Co  0.000  0.000  0.807
Co  0.000  0.000  0.193

=====

No. 5
Below is an optimized crystal structure of KRbBaLa2, with properties calculated at the PBE level.

Properties
ΔH_f (0 K)   880.1 meV/atom
N(E_F)   7.99 states/eV/f.u.

a b c (Å): 6.348 6.402 6.348
angles (deg): 90.00 90.00 90.00
Fractional positions:
Ba  0.500  0.500  0.500
La  0.000  0.000  0.500
La  0.500  0.000  0.000
Rb  0.000  0.000  0.000
K  0.000  0.500  0.000

=====

No. 6
Below is an optimized crystal structure of CoCuRh2, with properties calculated at the PBE level.

Properties
ΔH_f (0 K)   211.2 meV/atom
ΔE to the lowest computed polymorph   0.180 eV per atom
N(E_F)   6.34 states/eV/f.u.

a b c (Å): 4.342 2.626 4.717
angles (deg): 87.19 90.00 90.00
Fractional positions:
Rh  0.000  0.003  0.000
Rh  0.000  0.497  0.500
Co  0.500  0.250  0.250
Cu  0.500  0.750  0.750

=====

No. 7
Below is an optimized crystal structure of UAlFe, with properties calculated at the PBE level.

Properties
ΔH_f (0 K)   -112.0 meV/atom
N(E_F)   3.61 states/eV/f.u.

a b c (Å): 5.251 5.791 5.734
angles (deg): 114.75 93.66 133.17
Fractional positions:
U  0.162  0.097  0.276
U  0.838  0.903  0.724
Fe  0.444  0.213  0.792
Fe  0.556  0.787  0.208
Al  0.920  0.440  0.249
Al  0.080  0.560  0.751

=====

No. 8
Below is an optimized crystal structure of Ca3As2Rh3, with properties calculated at the PBE level.

Properties
ΔH_f (0 K)   -807.6 meV/atom
N(E_F)   3.43 states/eV/f.u.

a b c (Å): 5.643 7.761 15.073
angles (deg): 90.00 90.00 90.00
Fractional positions:
Rh  0.395  0.656  0.538
Rh  0.105  0.156  0.538
Rh  0.895  0.844  0.038
Rh  0.431  0.684  0.250
Rh  0.605  0.344  0.038
Rh  0.605  0.344  0.462
Rh  0.569  0.316  0.750
Rh  0.931  0.816  0.750
Rh  0.395  0.656  0.962
Rh  0.895  0.844  0.462
Rh  0.105  0.156  0.962
Rh  0.069  0.184  0.250
Ca  0.127  0.481  0.107
Ca  0.373  0.981  0.107
Ca  0.094  0.165  0.750
Ca  0.594  0.335  0.250
Ca  0.627  0.019  0.607
Ca  0.906  0.835  0.250
Ca  0.406  0.665  0.750
Ca  0.627  0.019  0.893
Ca  0.873  0.519  0.607
Ca  0.127  0.481  0.393
Ca  0.373  0.981  0.393
Ca  0.873  0.519  0.893
As  0.380  0.365  0.897
As  0.380  0.365  0.603
As  0.880  0.135  0.397
As  0.880  0.135  0.103
As  0.620  0.635  0.397
As  0.120  0.865  0.603
As  0.620  0.635  0.103
As  0.120  0.865  0.897

=====

No. 9
Below is an optimized crystal structure of ZnHg2S3, with properties calculated at the PBE level.

Properties
Formation energy from raw total energies   -0.322 eV per atom
ΔE to the lowest computed polymorph   0.025 eV per atom
N(E_F)   0.60 states/eV/f.u.

a b c (Å): 4.095 4.095 10.154
angles (deg): 90.00 90.00 120.00
Fractional positions:
S  0.667  0.333  0.600
S  0.000  0.000  0.246
S  0.333  0.667  0.896
Hg  0.667  0.333  0.347
Hg  0.000  0.000  0.995
Zn  0.333  0.667  0.666

=====

No. 10
Below is an optimized crystal structure of RbGaAgSn2, with properties calculated at the PBE level.

Properties
ΔH_f (0 K)   -107.6 meV/atom
N(E_F)   1.44 states/eV/f.u.

a b c (Å): 4.892 4.892 6.892
angles (deg): 110.79 110.79 90.00
Fractional positions:
Ga  0.750  0.250  0.500
Rb  0.000  0.000  0.000
Sn  0.376  0.376  0.752
Sn  0.624  0.624  0.248
Ag  0.250  0.750  0.500

=====

No. 11
Below is an optimized crystal structure of PuPd2Pt2, with properties calculated at the PBE level.

Properties
ΔH_f (0 K)   -340.6 meV/atom
N(E_F)   13.05 states/eV/f.u.

a b c (Å): 3.852 3.852 13.098
angles (deg): 98.46 98.46 90.00
Fractional positions:
Pd  0.000  0.500  0.000
Pd  0.175  0.175  0.351
Pd  0.500  0.000  0.000
Pd  0.825  0.825  0.649
Pu  0.622  0.622  0.244
Pu  0.378  0.378  0.756
Pt  0.250  0.750  0.500
Pt  0.075  0.075  0.150
Pt  0.750  0.250  0.500
Pt  0.925  0.925  0.850

=====

No. 12
Below is an optimized crystal structure of PrZn9Au3, with properties calculated at the PBE level.

Properties
ΔH_f (0 K)   -246.8 meV/atom
N(E_F)   5.12 states/eV/f.u.

a b c (Å): 5.426 7.062 6.971
angles (deg): 81.05 67.09 66.43
Fractional positions:
Zn  0.510  0.781  0.214
Zn  0.644  0.359  0.357
Zn  0.001  0.359  0.643
Zn  0.356  0.641  0.643
Zn  0.490  0.219  0.786
Zn  0.724  0.781  0.786
Zn  0.999  0.641  0.357
Zn  0.000  0.500  0.000
Zn  0.276  0.219  0.214
Pr  0.000  0.000  0.000
Au  0.000  0.000  0.500
Au  0.500  0.500  0.000
Au  0.500  0.000  0.500

=====

No. 13
Below is an optimized crystal structure of Ba2As2S5, with properties calculated at the PBE level.

Properties
Formation energy from raw total energies   -0.950 eV per atom
ΔE to the lowest computed polymorph   0.147 eV per atom

a b c (Å): 5.112 7.779 7.531
angles (deg): 112.71 90.00 109.18
Fractional positions:
S  0.000  0.000  0.000
S  0.342  0.683  0.085
S  0.158  0.316  0.571
S  0.658  0.317  0.915
S  0.842  0.684  0.429
Ba  0.396  0.793  0.713
Ba  0.604  0.207  0.287
As  0.164  0.328  0.876
As  0.836  0.672  0.124

=====

No. 14
Below is an optimized crystal structure of Sn2GeSb, with properties calculated at the PBE level.

Properties
Formation energy from raw total energies   0.092 eV per atom
ΔE to the lowest computed polymorph   0.000 eV per atom
N(E_F)   2.32 states/eV/f.u.

a b c (Å): 4.258 4.258 7.262
angles (deg): 72.95 72.95 60.00
Fractional positions:
Sn  0.257  0.257  0.228
Sn  0.743  0.743  0.772
Ge  0.000  0.000  0.000
Sb  0.500  0.500  0.500

=====

No. 15
Below is an optimized crystal structure of Na2PaAgCl8, with properties calculated at the PBE level.

Properties
Formation energy from raw total energies   -1.581 eV per atom

a b c (Å): 6.498 6.342 9.032
angles (deg): 90.00 90.00 96.33
Fractional positions:
Cl  0.681  0.719  0.000
Cl  0.709  0.725  0.500
Cl  0.831  0.207  0.800
Cl  0.319  0.281  0.000
Cl  0.169  0.793  0.200
Cl  0.291  0.275  0.500
Cl  0.169  0.792  0.800
Cl  0.831  0.208  0.200
Na  0.500  0.500  0.281
Na  0.500  0.500  0.719
Pa  0.000  0.000  0.000
Ag  0.000  0.000  0.500

=====

No. 16
Below is an optimized crystal structure of Mn2CrSi, with properties calculated at the PBE level.

Properties
Formation energy from raw total energies   -0.186 eV per atom
N(E_F)   3.03 states/eV/f.u.

a b c (Å): 2.960 4.113 3.847
angles (deg): 90.00 90.00 90.00
Fractional positions:
Si  0.500  0.000  0.500
Mn  0.000  0.000  0.000
Mn  0.500  0.500  0.000
Cr  0.000  0.500  0.500

=====

No. 17
Below is an optimized crystal structure of TbPmPuTh, with properties calculated at the PBE level.

Properties
ΔH_f (0 K)   237.0 meV/atom
N(E_F)   13.16 states/eV/f.u.

a b c (Å): 5.620 5.620 5.620
angles (deg): 60.00 60.00 60.00
Fractional positions:
Pu  0.750  0.750  0.750
Tb  0.500  0.500  0.500
Th  0.000  0.000  0.000
Pm  0.250  0.250  0.250

=====

No. 18
Below is an optimized crystal structure of CaY, with properties calculated at the PBE level.

Properties
ΔH_f (0 K)   48.2 meV/atom
ΔE to the lowest computed polymorph   0.000 eV per atom
N(E_F)   3.27 states/eV/f.u.

a b c (Å): 3.718 3.718 36.668
angles (deg): 90.00 90.00 120.00
Fractional positions:
Y  0.333  0.667  0.538
Y  0.000  0.000  0.871
Y  0.667  0.333  0.204
Y  0.333  0.667  0.796
Y  0.000  0.000  0.129
Y  0.667  0.333  0.462
Ca  0.333  0.667  0.378
Ca  0.000  0.000  0.712
Ca  0.667  0.333  0.622
Ca  0.000  0.000  0.288
Ca  0.667  0.333  0.045
Ca  0.333  0.667  0.955

=====

No. 19
Below is an optimized crystal structure of CsTi, with properties calculated at the PBE level.

Properties
ΔH_f (0 K)   850.7 meV/atom
ΔE to the lowest computed polymorph   0.000 eV per atom
N(E_F)   2.34 states/eV/f.u.

a b c (Å): 10.661 4.709 16.869
angles (deg): 90.00 90.00 90.00
Fractional positions:
Ti  0.566  0.750  0.602
Ti  0.501  0.250  0.534
Ti  0.934  0.250  0.102
Ti  0.066  0.750  0.898
Ti  0.001  0.250  0.966
Ti  0.999  0.750  0.034
Ti  0.434  0.250  0.398
Ti  0.499  0.750  0.466
Cs  0.647  0.750  0.227
Cs  0.147  0.750  0.273
Cs  0.813  0.250  0.450
Cs  0.353  0.250  0.773
Cs  0.313  0.250  0.050
Cs  0.687  0.750  0.950
Cs  0.187  0.750  0.550
Cs  0.853  0.250  0.727

=====

No. 20
Below is an optimized crystal structure of Cr2Rh, with properties calculated at the PBE level.

Properties
ΔH_f (0 K)   345.7 meV/atom
N(E_F)   4.03 states/eV/f.u.

a b c (Å): 2.641 4.048 14.967
angles (deg): 90.00 90.00 90.00
Fractional positions:
Cr  0.000  0.250  0.192
Cr  0.500  0.750  0.692
Cr  0.500  0.750  0.531
Cr  0.000  0.750  0.808
Cr  0.000  0.750  0.969
Cr  0.500  0.250  0.469
Cr  0.500  0.250  0.308
Cr  0.000  0.250  0.031
Rh  0.500  0.250  0.877
Rh  0.500  0.750  0.123
Rh  0.000  0.750  0.377
Rh  0.000  0.250  0.623

=====

No. 21
Below is an optimized crystal structure of ReSi3Os, with properties calculated at the PBE level.

Properties
Formation energy from raw total energies   1.305 eV per atom
ΔE to the lowest computed polymorph   0.000 eV per atom
N(E_F)   1.90 states/eV/f.u.

a b c (Å): 4.599 4.599 4.599
angles (deg): 90.00 90.00 90.00
Fractional positions:
Si  0.000  0.500  0.000
Si  0.500  0.000  0.000
Si  0.000  0.000  0.500
Os  0.000  0.000  0.000
Re  0.500  0.500  0.500

=====

No. 22
Below is an optimized crystal structure of Co2CuSi, with properties calculated at the PBE level.

Properties
Formation energy from raw total energies   -0.132 eV per atom
N(E_F)   3.39 states/eV/f.u.

a b c (Å): 3.521 2.599 5.188
angles (deg): 70.75 90.00 90.00
Fractional positions:
Si  0.500  0.750  0.750
Co  0.000  0.590  0.514
Co  0.000  0.910  0.986
Cu  0.500  0.250  0.250

=====

No. 23
Below is an optimized crystal structure of Th2Si4TcPt3, with properties calculated at the PBE level.

Properties
Formation energy from raw total energies   -1.068 eV per atom
N(E_F)   4.87 states/eV/f.u.

a b c (Å): 4.260 4.260 9.884
angles (deg): 90.00 90.00 90.00
Fractional positions:
Pt  0.500  0.000  0.879
Pt  0.000  0.500  0.121
Pt  0.000  0.000  0.500
Tc  0.500  0.500  0.500
Si  0.000  0.500  0.371
Si  0.500  0.000  0.629
Si  0.000  0.000  0.000
Si  0.500  0.500  0.000
Th  0.500  0.000  0.252
Th  0.000  0.500  0.748

=====

Number 1: E -205.95 eV for the cell shown, M_tot 0.000 μB per formula unit. Number 2: E -22.61 eV for the cell shown, M_tot 0.002 μB per formula unit. Number 3: E -22.28 eV for the cell shown, M_tot 0.000 μB per formula unit. Number 4: E -22.65 eV for the cell shown, M_tot 0.717 μB per formula unit. Number 5: E -9.44 eV for the cell shown, M_tot 0.000 μB per formula unit. Number 6: E -25.06 eV for the cell shown, M_tot 3.232 μB per formula unit. Number 7: E -47.66 eV for the cell shown, M_tot 0.351 μB per formula unit. Number 8: E -175.28 eV for the cell shown, M_tot 0.000 μB per formula unit. Number 9: E -16.19 eV for the cell shown, M_tot 0.000 μB per formula unit. Number 10: E -15.39 eV for the cell shown, M_tot 0.000 μB per formula unit. Number 11: E -77.00 eV for the cell shown, M_tot 4.342 μB per formula unit. Number 12: E -29.29 eV for the cell shown, M_tot 0.000 μB per formula unit. Number 13: E -42.33 eV for the cell shown, M_tot 0.000 μB per formula unit. Number 14: E -16.38 eV for the cell shown, M_tot 0.000 μB per formula unit. Number 15: E -48.73 eV for the cell shown, M_tot 0.000 μB per formula unit. Number 16: E -34.13 eV for the cell shown, M_tot 0.031 μB per formula unit. Number 17: E -30.18 eV for the cell shown, M_tot 8.093 μB per formula unit. Number 18: E -50.22 eV for the cell shown, M_tot 0.466 μB per formula unit. Number 19: E -56.38 eV for the cell shown, M_tot 0.000 μB per formula unit. Number 20: E -102.24 eV for the cell shown, M_tot 0.000 μB per formula unit. Number 21: E -33.42 eV for the cell shown, M_tot 3.151 μB per formula unit. Number 22: E -24.26 eV for the cell shown, M_tot 1.068 μB per formula unit. Number 23: E -75.70 eV for the cell shown, M_tot 0.000 μB per formula unit.